#w
# Pr2Tm2In | the Alexandria database | GGA-PBE | optimized geometry
data_Pr2Tm2In
_symmetry_space_group_name_H-M 'P 63/m m c'
_symmetry_Int_Tables_number 194
_symmetry_space_group_name_Hall '-P 6c 2c'
_cell_length_a 5.4693
_cell_length_b 5.4693
_cell_length_c 12.2032
_cell_angle_alpha 90.00
_cell_angle_beta 90.00
_cell_angle_gamma 120.00
loop_
_atom_site_label
_atom_site_type_symbol
_atom_site_fract_x
_atom_site_fract_y
_atom_site_fract_z
Pr1 Pr 0.3333 0.6667 0.0894
Tm1 Tm 0.0000 0.0000 0.0000
Tm2 Tm 0.3333 0.6667 0.7500
In1 In 0.0000 0.0000 0.2500
# Total magnetization in Bohr magnetons per cell: 0.0

***

#x
# Pr2Tm2In | the Alexandria database | GGA-PBE | optimized geometry
data_Pr2Tm2In
_symmetry_space_group_name_H-M 'R -3 m'
_symmetry_Int_Tables_number 166
_symmetry_space_group_name_Hall '-R 3 2"'
_cell_length_a 5.1405
_cell_length_b 5.1405
_cell_length_c 25.0492
_cell_angle_alpha 90.00
_cell_angle_beta 90.00
_cell_angle_gamma 120.00
loop_
_atom_site_label
_atom_site_type_symbol
_atom_site_fract_x
_atom_site_fract_y
_atom_site_fract_z
Pr1 Pr 0.0000 0.0000 0.0648
Tm1 Tm 0.0000 0.0000 0.1995
In1 In 0.0000 0.0000 0.5000
# Total magnetization in Bohr magnetons per cell: 0.0

***

Energies relative to the minimum, meV per atom: #w 0; #x 435

***

#w
# Pr12Tm6In | the Alexandria database | GGA-PBE | optimized geometry
data_Pr12Tm6In
_symmetry_space_group_name_H-M 'R -3'
_symmetry_Int_Tables_number 148
_symmetry_space_group_name_Hall '-R 3'
_cell_length_a 13.2478
_cell_length_b 13.2478
_cell_length_c 12.8478
_cell_angle_alpha 90.00
_cell_angle_beta 90.00
_cell_angle_gamma 120.00
loop_
_atom_site_label
_atom_site_type_symbol
_atom_site_fract_x
_atom_site_fract_y
_atom_site_fract_z
Pr1 Pr 0.0007 0.7416 0.0003
Pr2 Pr 0.0614 0.5304 0.1099
Tm1 Tm 0.0881 0.9107 0.7735
In1 In 0.0000 0.0000 0.0000
# Total magnetization in Bohr magnetons per cell: 0.0

***

#x
# Pr12Tm6In | the Alexandria database | GGA-PBE | optimized geometry
data_Pr12Tm6In
_symmetry_space_group_name_H-M 'R -3'
_symmetry_Int_Tables_number 148
_symmetry_space_group_name_Hall '-R 3'
_cell_length_a 12.1020
_cell_length_b 12.1020
_cell_length_c 15.3738
_cell_angle_alpha 90.00
_cell_angle_beta 90.00
_cell_angle_gamma 120.00
loop_
_atom_site_label
_atom_site_type_symbol
_atom_site_fract_x
_atom_site_fract_y
_atom_site_fract_z
Pr1 Pr 0.0107 0.1793 0.3135
Pr2 Pr 0.0484 0.8459 0.9145
Tm1 Tm 0.0289 0.4377 0.1930
In1 In 0.0000 0.0000 0.5000
# Total magnetization in Bohr magnetons per cell: 0.0

***

Energies relative to the minimum, meV per atom: #w 30; #x 0

***

#w
# Pr2TmIn3 | the Alexandria database | GGA-PBE | optimized geometry
data_Pr2TmIn3
_symmetry_space_group_name_H-M 'C m c m'
_symmetry_Int_Tables_number 63
_symmetry_space_group_name_Hall '-C 2c 2'
_cell_length_a 12.418
_cell_length_b 10.209
_cell_length_c 5.834
_cell_angle_alpha 90.00
_cell_angle_beta 90.00
_cell_angle_gamma 90.00
loop_
_atom_site_label
_atom_site_type_symbol
_atom_site_fract_x
_atom_site_fract_y
_atom_site_fract_z
Pr1 Pr 0.137 0.216 0.250
Tm1 Tm 0.000 0.398 0.750
In1 In 0.000 0.085 0.750
In2 In 0.207 0.500 0.000
# Total magnetization in Bohr magnetons per cell: 0.0

***

#x
# Pr2TmIn3 | the Alexandria database | GGA-PBE | optimized geometry
data_Pr2TmIn3
_symmetry_space_group_name_H-M 'P 4/m m m'
_symmetry_Int_Tables_number 123
_symmetry_space_group_name_Hall '-P 4 2'
_cell_length_a 3.813
_cell_length_b 3.813
_cell_length_c 11.699
_cell_angle_alpha 90.00
_cell_angle_beta 90.00
_cell_angle_gamma 90.00
loop_
_atom_site_label
_atom_site_type_symbol
_atom_site_fract_x
_atom_site_fract_y
_atom_site_fract_z
Pr1 Pr 0.000 0.000 0.174
Tm1 Tm 0.000 0.000 0.500
In1 In 0.500 0.500 0.000
In2 In 0.500 0.500 0.350
# Total magnetization in Bohr magnetons per cell: 0.0

***

Energies relative to the minimum, meV per atom: #w 248; #x 0

***

#w
# PrTm3In | the Alexandria database | GGA-PBE | optimized geometry
data_PrTm3In
_symmetry_space_group_name_H-M 'C m c m'
_symmetry_Int_Tables_number 63
_symmetry_space_group_name_Hall '-C 2c 2'
_cell_length_a 4.851
_cell_length_b 25.137
_cell_length_c 4.819
_cell_angle_alpha 90.00
_cell_angle_beta 90.00
_cell_angle_gamma 90.00
loop_
_atom_site_label
_atom_site_type_symbol
_atom_site_fract_x
_atom_site_fract_y
_atom_site_fract_z
Pr1 Pr 0.000 0.147 0.250
Tm1 Tm 0.000 0.046 0.750
Tm2 Tm 0.000 0.251 0.750
Tm3 Tm 0.000 0.449 0.750
In1 In 0.000 0.346 0.250
# Total magnetization in Bohr magnetons per cell: 0.0

***

#x
# PrTm3In | the Alexandria database | GGA-PBE | optimized geometry
data_PrTm3In
_symmetry_space_group_name_H-M 'P 63/m m c'
_symmetry_Int_Tables_number 194
_symmetry_space_group_name_Hall '-P 6c 2c'
_cell_length_a 7.9570
_cell_length_b 7.9570
_cell_length_c 5.9815
_cell_angle_alpha 90.00
_cell_angle_beta 90.00
_cell_angle_gamma 120.00
loop_
_atom_site_label
_atom_site_type_symbol
_atom_site_fract_x
_atom_site_fract_y
_atom_site_fract_z
Pr1 Pr 0.3333 0.6667 0.2500
Tm1 Tm 0.1935 0.3870 0.7500
In1 In 0.0000 0.0000 0.0000
# Total magnetization in Bohr magnetons per cell: 0.0

***

Energies relative to the minimum, meV per atom: #w 0; #x 227

***

#w
# PrTmIn3 | the Alexandria database | GGA-PBE | optimized geometry
data_PrTmIn3
_symmetry_space_group_name_H-M 'C m c m'
_symmetry_Int_Tables_number 63
_symmetry_space_group_name_Hall '-C 2c 2'
_cell_length_a 3.721
_cell_length_b 29.597
_cell_length_c 4.924
_cell_angle_alpha 90.00
_cell_angle_beta 90.00
_cell_angle_gamma 90.00
loop_
_atom_site_label
_atom_site_type_symbol
_atom_site_fract_x
_atom_site_fract_y
_atom_site_fract_z
Pr1 Pr 0.000 0.075 0.250
Tm1 Tm 0.000 0.214 0.750
In1 In 0.000 0.319 0.750
In2 In 0.000 0.376 0.250
In3 In 0.000 0.475 0.250
# Total magnetization in Bohr magnetons per cell: 0.6

***

#x
# PrTmIn3 | the Alexandria database | GGA-PBE | optimized geometry
data_PrTmIn3
_symmetry_space_group_name_H-M 'C m c m'
_symmetry_Int_Tables_number 63
_symmetry_space_group_name_Hall '-C 2c 2'
_cell_length_a 6.187
_cell_length_b 16.729
_cell_length_c 5.577
_cell_angle_alpha 90.00
_cell_angle_beta 90.00
_cell_angle_gamma 90.00
loop_
_atom_site_label
_atom_site_type_symbol
_atom_site_fract_x
_atom_site_fract_y
_atom_site_fract_z
Pr1 Pr 0.000 0.196 0.250
Tm1 Tm 0.000 0.434 0.750
In1 In 0.000 0.000 0.000
In2 In 0.236 0.370 0.250
# Total magnetization in Bohr magnetons per cell: 0.0

***

Energies relative to the minimum, meV per atom: #w 0; #x 156

***

#w
# Pr3Tm4In | the Alexandria database | GGA-PBE | optimized geometry
data_Pr3Tm4In
_symmetry_space_group_name_H-M 'P m n 21'
_symmetry_Int_Tables_number 31
_symmetry_space_group_name_Hall 'P 2ac -2'
_cell_length_a 11.278
_cell_length_b 7.108
_cell_length_c 6.223
_cell_angle_alpha 90.00
_cell_angle_beta 90.00
_cell_angle_gamma 90.00
loop_
_atom_site_label
_atom_site_type_symbol
_atom_site_fract_x
_atom_site_fract_y
_atom_site_fract_z
Pr1 Pr 0.000 0.128 0.000
Pr2 Pr 0.236 0.117 0.351
Tm1 Tm 0.000 0.385 0.542
Tm2 Tm 0.000 0.626 0.026
Tm3 Tm 0.241 0.621 0.363
In1 In 0.000 0.853 0.530
# Total magnetization in Bohr magnetons per cell: 0.0

***

#x
# Pr3Tm4In | the Alexandria database | GGA-PBE | optimized geometry
data_Pr3Tm4In
_symmetry_space_group_name_H-M 'I m m m'
_symmetry_Int_Tables_number 71
_symmetry_space_group_name_Hall '-I 2 2'
_cell_length_a 4.927
_cell_length_b 4.978
_cell_length_c 20.280
_cell_angle_alpha 90.00
_cell_angle_beta 90.00
_cell_angle_gamma 90.00
loop_
_atom_site_label
_atom_site_type_symbol
_atom_site_fract_x
_atom_site_fract_y
_atom_site_fract_z
Pr1 Pr 0.000 0.000 0.000
Pr2 Pr 0.000 0.500 0.124
Tm1 Tm 0.000 0.000 0.248
Tm2 Tm 0.000 0.500 0.374
In1 In 0.000 0.000 0.500
# Total magnetization in Bohr magnetons per cell: 0.0

***

Energies relative to the minimum, meV per atom: #w 0; #x 10

***

#w
# Pr5Tm4In | the Alexandria database | GGA-PBE | optimized geometry
data_Pr5Tm4In
_symmetry_space_group_name_H-M 'P 4/m m m'
_symmetry_Int_Tables_number 123
_symmetry_space_group_name_Hall '-P 4 2'
_cell_length_a 4.163
_cell_length_b 4.163
_cell_length_c 18.703
_cell_angle_alpha 90.00
_cell_angle_beta 90.00
_cell_angle_gamma 90.00
loop_
_atom_site_label
_atom_site_type_symbol
_atom_site_fract_x
_atom_site_fract_y
_atom_site_fract_z
Pr1 Pr 0.000 0.000 0.000
Pr2 Pr 0.000 0.000 0.205
Pr3 Pr 0.000 0.000 0.408
Tm1 Tm 0.500 0.500 0.102
Tm2 Tm 0.500 0.500 0.305
In1 In 0.500 0.500 0.500
# Total magnetization in Bohr magnetons per cell: 0.0

***

#x
# Pr5Tm4In | the Alexandria database | GGA-PBE | optimized geometry
data_Pr5Tm4In
_symmetry_space_group_name_H-M 'I 4 m m'
_symmetry_Int_Tables_number 107
_symmetry_space_group_name_Hall 'I 4 -2'
_cell_length_a 10.674
_cell_length_b 10.674
_cell_length_c 5.968
_cell_angle_alpha 90.00
_cell_angle_beta 90.00
_cell_angle_gamma 90.00
loop_
_atom_site_label
_atom_site_type_symbol
_atom_site_fract_x
_atom_site_fract_y
_atom_site_fract_z
Pr1 Pr 0.000 0.000 0.000
Pr2 Pr 0.189 0.189 0.279
Tm1 Tm 0.000 0.322 0.788
In1 In 0.000 0.000 0.519
# Total magnetization in Bohr magnetons per cell: 0.0

***

Energies relative to the minimum, meV per atom: #w 0; #x 192

***

#w
# Pr3TmIn2 | the Alexandria database | GGA-PBE | optimized geometry
data_Pr3TmIn2
_symmetry_space_group_name_H-M 'I m m m'
_symmetry_Int_Tables_number 71
_symmetry_space_group_name_Hall '-I 2 2'
_cell_length_a 3.431
_cell_length_b 5.870
_cell_length_c 19.190
_cell_angle_alpha 90.00
_cell_angle_beta 90.00
_cell_angle_gamma 90.00
loop_
_atom_site_label
_atom_site_type_symbol
_atom_site_fract_x
_atom_site_fract_y
_atom_site_fract_z
Pr1 Pr 0.000 0.000 0.000
Pr2 Pr 0.000 0.500 0.179
Tm1 Tm 0.000 0.500 0.000
In1 In 0.000 0.500 0.350
# Total magnetization in Bohr magnetons per cell: 0.0

***

#x
# Pr3TmIn2 | the Alexandria database | GGA-PBE | optimized geometry
data_Pr3TmIn2
_symmetry_space_group_name_H-M 'P m c 21'
_symmetry_Int_Tables_number 26
_symmetry_space_group_name_Hall 'P 2c -2'
_cell_length_a 5.337
_cell_length_b 10.145
_cell_length_c 6.853
_cell_angle_alpha 90.00
_cell_angle_beta 90.00
_cell_angle_gamma 90.00
loop_
_atom_site_label
_atom_site_type_symbol
_atom_site_fract_x
_atom_site_fract_y
_atom_site_fract_z
Pr1 Pr 0.000 0.035 0.000
Pr2 Pr 0.000 0.329 0.339
Pr3 Pr 0.500 0.184 0.730
Tm1 Tm 0.500 0.462 0.065
In1 In 0.000 0.357 0.828
In2 In 0.500 0.147 0.245
# Total magnetization in Bohr magnetons per cell: 0.0

***

Energies relative to the minimum, meV per atom: #w 388; #x 0

***

#w
# PrTmIn6 | the Alexandria database | GGA-PBE | optimized geometry
data_PrTmIn6
_symmetry_space_group_name_H-M 'P -6 m 2'
_symmetry_Int_Tables_number 187
_symmetry_space_group_name_Hall 'P -6 2'
_cell_length_a 6.6721
_cell_length_b 6.6721
_cell_length_c 5.3202
_cell_angle_alpha 90.00
_cell_angle_beta 90.00
_cell_angle_gamma 120.00
loop_
_atom_site_label
_atom_site_type_symbol
_atom_site_fract_x
_atom_site_fract_y
_atom_site_fract_z
Pr1 Pr 0.0000 0.0000 0.0000
Tm1 Tm 0.6667 0.3333 0.5000
In1 In 0.0064 0.5032 0.0000
In2 In 0.1757 0.3513 0.5000
# Total magnetization in Bohr magnetons per cell: 0.0

***

#x
# PrTmIn6 | the Alexandria database | GGA-PBE | optimized geometry
data_PrTmIn6
_symmetry_space_group_name_H-M 'P 4/m m m'
_symmetry_Int_Tables_number 123
_symmetry_space_group_name_Hall '-P 4 2'
_cell_length_a 4.679
_cell_length_b 4.679
_cell_length_c 9.345
_cell_angle_alpha 90.00
_cell_angle_beta 90.00
_cell_angle_gamma 90.00
loop_
_atom_site_label
_atom_site_type_symbol
_atom_site_fract_x
_atom_site_fract_y
_atom_site_fract_z
Pr1 Pr 0.000 0.000 0.000
Tm1 Tm 0.000 0.000 0.500
In1 In 0.000 0.500 0.257
In2 In 0.500 0.500 0.000
In3 In 0.500 0.500 0.500
# Total magnetization in Bohr magnetons per cell: 0.0

***

Energies relative to the minimum, meV per atom: #w 60; #x 0

***

#w
# Pr3Tm2In | the Alexandria database | GGA-PBE | optimized geometry
data_Pr3Tm2In
_symmetry_space_group_name_H-M 'C m m m'
_symmetry_Int_Tables_number 65
_symmetry_space_group_name_Hall '-C 2 2'
_cell_length_a 5.031
_cell_length_b 15.223
_cell_length_c 4.925
_cell_angle_alpha 90.00
_cell_angle_beta 90.00
_cell_angle_gamma 90.00
loop_
_atom_site_label
_atom_site_type_symbol
_atom_site_fract_x
_atom_site_fract_y
_atom_site_fract_z
Pr1 Pr 0.000 0.000 0.000
Pr2 Pr 0.000 0.330 0.000
Tm1 Tm 0.000 0.163 0.500
In1 In 0.000 0.500 0.500
# Total magnetization in Bohr magnetons per cell: 0.0

***

#x
# Pr3Tm2In | the Alexandria database | GGA-PBE | optimized geometry
data_Pr3Tm2In
_symmetry_space_group_name_H-M 'C 1 2/m 1'
_symmetry_Int_Tables_number 12
_symmetry_space_group_name_Hall '-C 2y'
_cell_length_a 17.081
_cell_length_b 3.559
_cell_length_c 13.081
_cell_angle_alpha 90.00
_cell_angle_beta 102.69
_cell_angle_gamma 90.00
loop_
_atom_site_label
_atom_site_type_symbol
_atom_site_fract_x
_atom_site_fract_y
_atom_site_fract_z
Pr1 Pr 0.081 0.000 0.217
Pr2 Pr 0.085 0.500 0.967
Pr3 Pr 0.237 0.000 0.619
Tm1 Tm 0.080 0.500 0.451
Tm2 Tm 0.233 0.000 0.880
In1 In 0.088 0.500 0.711
# Total magnetization in Bohr magnetons per cell: 0.0

***

Energies relative to the minimum, meV per atom: #w 0; #x 118

***

#w
# Pr2Y4In | the Alexandria database | GGA-PBE | optimized geometry
data_Pr2Y4In
_symmetry_space_group_name_H-M 'C m m m'
_symmetry_Int_Tables_number 65
_symmetry_space_group_name_Hall '-C 2 2'
_cell_length_a 6.166
_cell_length_b 12.581
_cell_length_c 5.939
_cell_angle_alpha 90.00
_cell_angle_beta 90.00
_cell_angle_gamma 90.00
loop_
_atom_site_label
_atom_site_type_symbol
_atom_site_fract_x
_atom_site_fract_y
_atom_site_fract_z
Pr1 Pr 0.000 0.110 0.000
Y1 Y 0.000 0.179 0.500
Y2 Y 0.000 0.364 0.000
In1 In 0.000 0.500 0.500
# Total magnetization in Bohr magnetons per cell: 0.0

***

#x
# Pr2Y4In | the Alexandria database | GGA-PBE | optimized geometry
data_Pr2Y4In
_symmetry_space_group_name_H-M 'P 1 21/c 1'
_symmetry_Int_Tables_number 14
_symmetry_space_group_name_Hall '-P 2ybc'
_cell_length_a 6.785
_cell_length_b 11.699
_cell_length_c 6.573
_cell_angle_alpha 90.00
_cell_angle_beta 118.89
_cell_angle_gamma 90.00
loop_
_atom_site_label
_atom_site_type_symbol
_atom_site_fract_x
_atom_site_fract_y
_atom_site_fract_z
Pr1 Pr 0.191 0.022 0.345
Y1 Y 0.147 0.197 0.823
Y2 Y 0.366 0.749 0.184
In1 In 0.500 0.000 0.000
# Total magnetization in Bohr magnetons per cell: 0.0

***

Energies relative to the minimum, meV per atom: #w 430; #x 0